A plane-wave DFT calculation with PBE with a Hubbard U was carried out for an optimized crystal structure of Tb2VFeO6.

extended XYZ file:
```
20
Lattice="-1.716 -2.482 4.822 5.027 -0.638 1.461 4.871 6.113 4.880" Properties=species:S:1:pos:R:3 pbc="T T T"
Tb 6.333 2.705 7.484
Tb 4.896 4.228 4.402
Tb 1.849 0.288 3.679
Tb 3.286 -1.236 6.761
V 2.436 3.056 2.440
V -0.858 -1.241 2.411
Fe 2.514 -0.319 0.730
Fe 4.091 1.496 5.581
O 6.314 1.661 9.563
O 3.574 3.331 6.092
O 1.869 1.331 1.600
O 4.609 -0.339 5.071
O 4.478 3.607 8.886
O 5.934 2.144 5.296
O 3.659 2.005 3.649
O 2.274 -1.801 4.552
O 3.705 -0.615 2.277
O 2.248 0.849 5.867
O 4.524 0.987 7.514
O 5.909 4.793 6.611
```

Computed properties:
Total DFT energy (no corrections) ... -155.14 eV per cell
Crystal system ... monoclinic
V ... 11.35 A^3/atom
Symmetry ... P2_1/c, No. 14